(1)
# InBiF4 (PBE-GGA, optimized geometry)
data_InBiF4
_chemical_formula_sum 'In2 Bi2 F8'
_symmetry_space_group_name_H-M 'P m n 21'
_symmetry_Int_Tables_number 31
_symmetry_space_group_name_Hall 'P 2ac -2'
_cell_length_a 6.217
_cell_length_b 4.950
_cell_length_c 7.019
_cell_angle_alpha 90.00
_cell_angle_beta 90.00
_cell_angle_gamma 90.00
loop_
_atom_site_label
_atom_site_fract_x
_atom_site_fract_y
_atom_site_fract_z
In1 0.000 0.028 0.000
Bi1 0.000 0.508 0.531
F1 0.000 0.072 0.620
F2 0.000 0.736 0.264
F3 0.229 0.656 0.871
# Final energy   -4.47 eV/atom
# Energy relative to the lowest polymorph listed for this composition   0.12 eV per formula unit
# Theoretical density   6147 kg/m³

=====

(2)
# ZnGa3Sb (PBE-GGA, optimized geometry)
data_ZnGa3Sb
_chemical_formula_sum 'Zn1 Ga3 Sb1'
_symmetry_space_group_name_H-M 'P m -3 m'
_symmetry_Int_Tables_number 221
_symmetry_space_group_name_Hall '-P 4 2 3'
_cell_length_a 5.405
_cell_length_b 5.405
_cell_length_c 5.405
_cell_angle_alpha 90.00
_cell_angle_beta 90.00
_cell_angle_gamma 90.00
loop_
_atom_site_label
_atom_site_fract_x
_atom_site_fract_y
_atom_site_fract_z
Zn1 0.000 0.000 0.000
Ga1 0.000 0.500 0.500
Sb1 0.500 0.500 0.500
# Final energy   -2.26 eV/atom
# Energy relative to the lowest polymorph listed for this composition   1.91 eV per formula unit
# Theoretical density   4168 kg/m³

=====

(3)
# SrV2Fe (PBE-GGA, optimized geometry)
data_SrV2Fe
_chemical_formula_sum 'Sr4 V8 Fe4'
_symmetry_space_group_name_H-M 'F m -3 m'
_symmetry_Int_Tables_number 225
_symmetry_space_group_name_Hall '-F 4 2 3'
_cell_length_a 6.652
_cell_length_b 6.652
_cell_length_c 6.652
_cell_angle_alpha 90.00
_cell_angle_beta 90.00
_cell_angle_gamma 90.00
loop_
_atom_site_label
_atom_site_fract_x
_atom_site_fract_y
_atom_site_fract_z
Sr1 0.000 0.000 0.000
V1 0.250 0.250 0.250
Fe1 0.000 0.000 0.500
# Final energy   -6.09 eV/atom
# ΔH_f (0 K)   4.00 eV per formula unit
# Energy relative to the lowest polymorph listed for this composition   0.00 eV per formula unit
# Theoretical density   5538 kg/m³

=====

(4)
# SiGeB2 (PBE-GGA, optimized geometry)
data_SiGeB2
_chemical_formula_sum 'Si4 Ge4 B8'
_symmetry_space_group_name_H-M 'F m -3 m'
_symmetry_Int_Tables_number 225
_symmetry_space_group_name_Hall '-F 4 2 3'
_cell_length_a 5.670
_cell_length_b 5.670
_cell_length_c 5.670
_cell_angle_alpha 90.00
_cell_angle_beta 90.00
_cell_angle_gamma 90.00
loop_
_atom_site_label
_atom_site_fract_x
_atom_site_fract_y
_atom_site_fract_z
Si1 0.000 0.000 0.000
Ge1 0.000 0.000 0.500
B1 0.250 0.250 0.250
# Final energy   -4.50 eV/atom
# Energy relative to the lowest polymorph listed for this composition   3.50 eV per formula unit
# Theoretical density   4459 kg/m³